Entry 1:
! Sm2ErPd (PBE, optimized geometry); values from VASP
&SYSTEM
  ibrav = 0, nat = 8, ntyp = 3
/
ATOMIC_SPECIES
Sm 150.36 Sm.upf
Pd 106.42 Pd.upf
Er 167.26 Er.upf
ATOMIC_POSITIONS crystal
Sm 0.366 0.731 0.940
Pd 0.762 0.523 0.750
Er 0.071 0.142 0.750
Sm 0.366 0.731 0.560
Pd 0.238 0.477 0.250
Sm 0.634 0.269 0.060
Er 0.929 0.858 0.250
Sm 0.634 0.269 0.440
CELL_PARAMETERS angstrom
3.824 0.001 0.000
-1.911 6.057 0.000
0.000 0.000 9.687
! Calculated formation energy: -0.422 eV/atom
! Symmetry: Cmcm, No. 63
! Density: 8.50 g cm⁻³
! Total moment: 0.0 μB/f.u.
! E above lowest polymorph: 20 meV/atom

***

Entry 2:
! LiUPa2N6 (PBE, optimized geometry); values from VASP
&SYSTEM
  ibrav = 0, nat = 10, ntyp = 4
/
ATOMIC_SPECIES
U 238.03 U.upf
N 14.01 N.upf
Pa 231.04 Pa.upf
Li 6.94 Li.upf
ATOMIC_POSITIONS crystal
U 0.308 0.308 0.075
N 0.930 0.614 0.231
Pa 0.525 0.525 0.424
N 0.383 0.692 0.766
Li 0.804 0.804 0.587
Pa 0.021 0.021 0.937
N 0.159 0.383 0.766
N 0.225 0.930 0.231
N 0.614 0.225 0.231
N 0.692 0.159 0.766
CELL_PARAMETERS angstrom
-0.539 -5.626 -1.670
2.718 -1.901 -4.872
4.724 -3.692 0.511
! Symmetry: R3, No. 146
! E_form (uncorrected): -1.130 eV per atom
! Density: 8.80 g cm⁻³
! Total moment: 0.0 μB/f.u.

***

Entry 3:
! Al2Rh2Pb (PBE, optimized geometry); values from VASP
&SYSTEM
  ibrav = 0, nat = 5, ntyp = 3
/
ATOMIC_SPECIES
Rh 102.91 Rh.upf
Al 26.98 Al.upf
Pb 207.20 Pb.upf
ATOMIC_POSITIONS crystal
Rh 0.750 0.250 0.500
Al 0.365 0.365 0.270
Rh 0.250 0.750 0.500
Al 0.635 0.635 0.730
Pb 0.000 0.000 0.000
CELL_PARAMETERS angstrom
-2.221 3.149 -1.914
-2.122 -2.920 -2.342
-5.740 -0.199 1.498
! Calculated formation energy: -0.331 eV/atom
! Symmetry: I4/mmm, No. 139
! Density: 8.22 g cm⁻³
! Total moment: 0.0 μB/f.u.
! E above lowest polymorph: 178 meV/atom

***

Entry 4:
! Na3SiGe (PBE, optimized geometry); values from VASP
&SYSTEM
  ibrav = 0, nat = 20, ntyp = 3
/
ATOMIC_SPECIES
Na 22.99 Na.upf
Ge 72.64 Ge.upf
Si 28.09 Si.upf
ATOMIC_POSITIONS crystal
Na 0.000 0.169 0.478
Na 0.000 0.831 0.522
Na 0.000 0.862 0.862
Na 0.500 0.978 0.331
Ge 0.500 0.334 0.334
Ge 0.000 0.834 0.166
Na 0.500 0.331 0.978
Ge 0.000 0.166 0.834
Ge 0.500 0.666 0.666
Na 0.500 0.362 0.638
Na 0.500 0.638 0.362
Na 0.000 0.478 0.169
Na 0.500 0.022 0.669
Na 0.000 0.138 0.138
Na 0.500 0.669 0.022
Si 0.500 0.927 0.073
Na 0.000 0.522 0.831
Si 0.500 0.073 0.927
Si 0.000 0.573 0.573
Si 0.000 0.427 0.427
CELL_PARAMETERS angstrom
3.981 0.000 0.000
0.000 11.333 0.000
0.000 0.000 11.333
! Symmetry: P4_2/mnm, No. 136
! E_form (uncorrected): 0.007 eV per atom
! Density: 2.20 g cm⁻³
! Total moment: 0.0 μB/f.u.
! E above lowest polymorph: 0 meV/atom

***

Entry 5:
! LaTi (PBE, optimized geometry); values from VASP
&SYSTEM
  ibrav = 0, nat = 8, ntyp = 2
/
ATOMIC_SPECIES
Ti 47.87 Ti.upf
La 138.91 La.upf
ATOMIC_POSITIONS crystal
Ti 0.851 0.851 0.500
La 0.179 0.179 0.000
La 0.821 0.821 0.000
Ti 0.649 0.351 0.000
La 0.321 0.679 0.500
Ti 0.149 0.149 0.500
La 0.679 0.321 0.500
Ti 0.351 0.649 0.000
CELL_PARAMETERS angstrom
6.055 0.000 0.000
0.000 6.055 0.000
0.000 0.000 6.263
! Calculated formation energy: 0.724 eV/atom
! Symmetry: P4_2/mnm, No. 136
! Density: 5.40 g cm⁻³
! Total moment: 0.0 μB/f.u.
! E above lowest polymorph: 523 meV/atom

***

Entry 6:
! Ba2Cd3 (PBE, optimized geometry); values from VASP
&SYSTEM
  ibrav = 0, nat = 10, ntyp = 2
/
ATOMIC_SPECIES
Cd 112.41 Cd.upf
Ba 137.33 Ba.upf
ATOMIC_POSITIONS crystal
Cd 0.023 0.250 0.047
Cd 0.169 0.750 0.338
Cd 0.831 0.250 0.662
Cd 0.117 0.250 0.234
Cd 0.883 0.750 0.766
Ba 0.570 0.750 0.140
Ba 0.430 0.250 0.860
Cd 0.977 0.750 0.953
Ba 0.295 0.750 0.590
Ba 0.705 0.250 0.410
CELL_PARAMETERS angstrom
4.394 0.000 -0.723
0.000 5.172 0.000
0.399 0.000 16.133
! Calculated formation energy: -0.308 eV/atom
! Symmetry: Cmcm, No. 63
! Density: 5.52 g cm⁻³
! Total moment: 0.0 μB/f.u.
! E above lowest polymorph: 0 meV/atom

***

Entry 7:
! Li5NbO5 (PBE, optimized geometry); values from VASP
&SYSTEM
  ibrav = 0, nat = 22, ntyp = 3
/
ATOMIC_SPECIES
O 16.00 O.upf
Li 6.94 Li.upf
Nb 92.91 Nb.upf
ATOMIC_POSITIONS crystal
O 0.329 0.988 0.893
Li 0.331 0.669 0.250
O 0.798 0.574 0.912
Li 0.050 0.701 0.060
Li 0.772 0.546 0.457
Nb 0.087 0.913 0.750
Li 0.701 0.050 0.560
O 0.012 0.671 0.607
Li 0.454 0.228 0.043
O 0.426 0.202 0.588
O 0.574 0.798 0.412
O 0.885 0.115 0.750
Li 0.950 0.299 0.940
O 0.115 0.885 0.250
O 0.202 0.426 0.088
Nb 0.913 0.087 0.250
Li 0.546 0.772 0.957
O 0.988 0.329 0.393
Li 0.669 0.331 0.750
Li 0.299 0.950 0.440
O 0.671 0.012 0.107
Li 0.228 0.454 0.543
CELL_PARAMETERS angstrom
-4.151 2.612 -2.468
1.868 -4.554 -2.433
-6.654 -5.576 2.699
! Symmetry: C2/c, No. 15
! E_form (uncorrected): -2.217 eV per atom
! Density: 2.91 g cm⁻³
! Total moment: 0.0 μB/f.u.
! E above lowest polymorph: 8 meV/atom

***

Entry 8:
! CaThCu2 (PBE, optimized geometry); values from VASP
&SYSTEM
  ibrav = 0, nat = 4, ntyp = 3
/
ATOMIC_SPECIES
Ca 40.08 Ca.upf
Th 232.04 Th.upf
Cu 63.55 Cu.upf
ATOMIC_POSITIONS crystal
Ca 0.500 0.500 0.500
Th 0.500 0.500 0.000
Cu 0.000 0.000 0.235
Cu 0.000 0.000 0.765
CELL_PARAMETERS angstrom
3.538 0.000 0.000
0.000 3.538 0.000
0.000 0.000 7.329
! Calculated formation energy: -0.071 eV/atom
! Symmetry: P4/mmm, No. 123
! Density: 7.23 g cm⁻³
! Total moment: 0.0 μB/f.u.
! E above lowest polymorph: 0 meV/atom

***

Entry 9:
! AsOsI2O (PBE, optimized geometry); values from VASP
&SYSTEM
  ibrav = 0, nat = 5, ntyp = 4
/
ATOMIC_SPECIES
I 126.90 I.upf
O 16.00 O.upf
As 74.92 As.upf
Os 190.23 Os.upf
ATOMIC_POSITIONS crystal
I 0.000 0.500 0.000
I 0.500 0.000 0.000
O 0.000 0.000 0.500
As 0.000 0.000 0.000
Os 0.500 0.500 0.500
CELL_PARAMETERS angstrom
-1.521 2.371 -4.964
-2.303 -4.951 -1.660
-3.257 1.017 1.484
! Symmetry: P4/mmm, No. 123
! E_form (uncorrected): 0.998 eV per atom
! Density: 7.33 g cm⁻³
! Total moment: 3.3 μB/f.u.
! E above lowest polymorph: 696 meV/atom